Entry from the Alexandria database: crystalline TbCuAg at its relaxed geometry (PBE).

Unit cell a=7.504 b=8.476 c=8.476 alpha=53.20 beta=63.72 gamma=63.72
Positions (direct):
Cu (0.000, 0.666, 0.521)
Cu (0.569, 0.000, 0.000)
Cu (0.569, 0.500, 0.500)
Cu (0.187, 0.334, 0.479)
Cu (0.000, 0.021, 0.166)
Cu (0.187, 0.979, 0.834)
Ag (0.212, 0.548, 0.048)
Ag (0.277, 0.889, 0.389)
Ag (0.809, 0.452, 0.952)
Ag (0.555, 0.111, 0.611)
Ag (0.839, 0.744, 0.244)
Ag (0.827, 0.256, 0.756)
Tb (0.539, 0.174, 0.220)
Tb (0.933, 0.280, 0.326)
Tb (0.250, 0.326, 0.826)
Tb (0.539, 0.720, 0.674)
Tb (0.933, 0.826, 0.780)
Tb (0.402, 0.674, 0.174)

* distance to the lowest polymorph of the same formula: 0.173 eV/atom
* density of states at the Fermi level: 0.578 states/eV/atom
* E_form: -0.10 eV per atom
* electronic total energy: -71.3 eV for the cell shown

Entry from the Alexandria database: crystalline Tb6CuAg2 at its relaxed geometry (PBE).

Unit cell a=6.948 b=7.233 c=10.102 alpha=90.00 beta=83.12 gamma=90.00
Positions (direct):
Tb (0.305, 0.826, 0.050)
Tb (0.346, 0.518, 0.751)
Tb (0.154, 0.018, 0.749)
Tb (0.195, 0.326, 0.450)
Tb (0.359, 0.817, 0.436)
Tb (0.695, 0.174, 0.950)
Tb (0.805, 0.674, 0.550)
Tb (0.141, 0.317, 0.064)
Tb (0.859, 0.683, 0.936)
Tb (0.654, 0.482, 0.249)
Tb (0.641, 0.183, 0.564)
Tb (0.846, 0.982, 0.251)
Cu (0.500, 0.500, 0.000)
Cu (0.000, 0.000, 0.500)
Ag (0.436, 0.118, 0.235)
Ag (0.936, 0.382, 0.735)
Ag (0.064, 0.618, 0.265)
Ag (0.564, 0.882, 0.765)

* density of states at the Fermi level: 1.196 states/eV/atom
* E_form: -0.07 eV per atom
* electronic total energy: -76.5 eV for the cell shown

Entry from the Alexandria database: crystalline Tb8CuAg2 at its relaxed geometry (PBE).

Unit cell a=5.202 b=6.854 c=9.219 alpha=105.72 beta=106.39 gamma=90.00
Positions (direct):
Tb (0.801, 0.686, 0.601)
Tb (0.973, 0.218, 0.946)
Tb (0.027, 0.782, 0.054)
Tb (0.662, 0.974, 0.324)
Tb (0.591, 0.449, 0.181)
Tb (0.199, 0.314, 0.399)
Tb (0.409, 0.551, 0.819)
Tb (0.338, 0.026, 0.676)
Ag (0.815, 0.274, 0.631)
Ag (0.185, 0.726, 0.369)
Cu (0.500, 0.000, 0.000)

* density of states at the Fermi level: 1.014 states/eV/atom
* E_form: -0.11 eV per atom
* electronic total energy: -48.1 eV for the cell shown

Entry from the Alexandria database: crystalline TbCuAg at its relaxed geometry (PBE).

Unit cell a=4.032 b=6.414 c=5.402 alpha=74.54 beta=68.08 gamma=71.68
Positions (direct):
Tb (0.557, 0.698, 0.189)
Tb (0.443, 0.302, 0.811)
Ag (0.825, 0.084, 0.266)
Ag (0.175, 0.916, 0.734)
Cu (0.139, 0.337, 0.385)
Cu (0.861, 0.663, 0.615)

* distance to the lowest polymorph of the same formula: 0.000 eV/atom
* density of states at the Fermi level: 0.452 states/eV/atom
* E_form: -0.28 eV per atom
* electronic total energy: -24.8 eV for the cell shown

Entry from the Alexandria database: crystalline Tb2Cu9Ag at its relaxed geometry (PBE).

Unit cell a=5.103 b=5.103 c=8.700 alpha=72.95 beta=72.95 gamma=60.00
Positions (direct):
Ag (0.000, 0.000, 0.000)
Cu (0.417, 0.921, 0.244)
Cu (0.921, 0.417, 0.244)
Cu (0.500, 0.500, 0.500)
Cu (0.583, 0.079, 0.756)
Cu (0.583, 0.583, 0.756)
Cu (0.667, 0.667, 0.999)
Cu (0.417, 0.417, 0.244)
Cu (0.333, 0.333, 0.001)
Cu (0.079, 0.583, 0.756)
Tb (0.866, 0.866, 0.403)
Tb (0.134, 0.134, 0.597)

* density of states at the Fermi level: 0.388 states/eV/atom
* E_form: -0.08 eV per atom
* electronic total energy: -49.9 eV for the cell shown

Entry from the Alexandria database: crystalline Tb4Cu3Ag at its relaxed geometry (PBE).

Unit cell a=3.782 b=4.601 c=10.436 alpha=90.00 beta=90.00 gamma=90.00
Positions (direct):
Cu (0.500, 0.000, 0.922)
Cu (0.000, 0.500, 0.571)
Cu (0.000, 0.000, 0.431)
Tb (0.000, 0.500, 0.850)
Tb (0.000, 0.000, 0.144)
Tb (0.500, 0.500, 0.368)
Tb (0.500, 0.000, 0.639)
Ag (0.500, 0.500, 0.074)

* distance to the lowest polymorph of the same formula: 0.004 eV/atom
* density of states at the Fermi level: 0.791 states/eV/atom
* E_form: -0.24 eV per atom
* electronic total energy: -35.6 eV for the cell shown

Entry from the Alexandria database: crystalline TbCu10Ag at its relaxed geometry (PBE).

Unit cell a=4.095 b=4.947 c=8.571 alpha=90.00 beta=90.00 gamma=90.00
Positions (direct):
Cu (0.000, 0.500, 0.182)
Cu (0.500, 0.000, 0.500)
Cu (0.500, 0.500, 0.000)
Cu (0.000, 0.000, 0.343)
Cu (0.500, 0.752, 0.750)
Cu (0.500, 0.248, 0.750)
Cu (0.000, 0.000, 0.657)
Cu (0.500, 0.248, 0.250)
Cu (0.500, 0.752, 0.250)
Cu (0.000, 0.500, 0.818)
Tb (0.000, 0.000, 0.000)
Ag (0.000, 0.500, 0.500)

* density of states at the Fermi level: 0.450 states/eV/atom
* E_form: -0.04 eV per atom
* electronic total energy: -48.9 eV for the cell shown

Entry from the Alexandria database: crystalline Tb4Cu3Ag at its relaxed geometry (PBE).

Unit cell a=3.523 b=5.008 c=9.981 alpha=90.00 beta=90.00 gamma=90.00
Positions (direct):
Cu (0.500, 0.000, 0.749)
Cu (0.500, 0.500, 0.500)
Cu (0.500, 0.000, 0.251)
Tb (0.000, 0.500, 0.740)
Tb (0.000, 0.500, 0.260)
Tb (0.000, 0.000, 0.000)
Tb (0.000, 0.000, 0.500)
Ag (0.500, 0.500, 0.000)

* distance to the lowest polymorph of the same formula: 0.000 eV/atom
* density of states at the Fermi level: 0.615 states/eV/atom
* E_form: -0.25 eV per atom
* electronic total energy: -35.6 eV for the cell shown

Entry from the Alexandria database: crystalline Tb6Cu5Ag at its relaxed geometry (PBE).

Unit cell a=4.994 b=6.975 c=7.900 alpha=90.00 beta=71.42 gamma=90.00
Positions (direct):
Tb (0.170, 0.253, 0.660)
Tb (0.830, 0.253, 0.340)
Tb (0.830, 0.747, 0.340)
Tb (0.170, 0.747, 0.660)
Tb (0.500, 0.257, 0.000)
Tb (0.500, 0.743, 0.000)
Cu (0.334, 0.000, 0.331)
Cu (0.666, 0.000, 0.669)
Cu (0.665, 0.500, 0.670)
Cu (0.335, 0.500, 0.330)
Cu (0.000, 0.500, 0.000)
Ag (0.000, 0.000, 0.000)

* density of states at the Fermi level: 0.450 states/eV/atom
* E_form: -0.25 eV per atom
* electronic total energy: -54.1 eV for the cell shown

Entry from the Alexandria database: crystalline TbCu4Ag at its relaxed geometry (PBE).

Unit cell a=5.070 b=5.070 c=5.070 alpha=60.00 beta=60.00 gamma=60.00
Positions (direct):
Cu (0.624, 0.128, 0.624)
Cu (0.624, 0.624, 0.624)
Cu (0.128, 0.624, 0.624)
Cu (0.624, 0.624, 0.128)
Ag (0.250, 0.250, 0.250)
Tb (0.000, 0.000, 0.000)

* density of states at the Fermi level: 0.982 states/eV/atom
* E_form: -0.22 eV per atom
* electronic total energy: -25.2 eV for the cell shown

Entry from the Alexandria database: crystalline Tb3Cu2Ag at its relaxed geometry (PBE).

Unit cell a=3.528 b=3.528 c=10.710 alpha=90.00 beta=90.00 gamma=90.00
Positions (direct):
Ag (0.500, 0.500, 0.500)
Tb (0.000, 0.000, 0.321)
Tb (0.000, 0.000, 0.000)
Tb (0.000, 0.000, 0.679)
Cu (0.500, 0.500, 0.839)
Cu (0.500, 0.500, 0.161)

* density of states at the Fermi level: 0.483 states/eV/atom
* E_form: -0.26 eV per atom
* electronic total energy: -26.5 eV for the cell shown

Entry from the Alexandria database: crystalline Tb2Cu2Ag at its relaxed geometry (PBE).

Unit cell a=3.739 b=7.461 c=7.461 alpha=90.00 beta=90.00 gamma=90.00
Positions (direct):
Cu (0.000, 0.881, 0.619)
Cu (0.000, 0.119, 0.381)
Cu (0.000, 0.619, 0.119)
Cu (0.000, 0.381, 0.881)
Ag (0.000, 0.500, 0.500)
Ag (0.000, 0.000, 0.000)
Tb (0.500, 0.177, 0.677)
Tb (0.500, 0.823, 0.323)
Tb (0.500, 0.677, 0.823)
Tb (0.500, 0.323, 0.177)

* distance to the lowest polymorph of the same formula: 0.010 eV/atom
* density of states at the Fermi level: 0.675 states/eV/atom
* E_form: -0.27 eV per atom
* electronic total energy: -43.3 eV for the cell shown

Entry from the Alexandria database: crystalline Tb2Cu2Ag at its relaxed geometry (PBE).

Unit cell a=3.669 b=3.996 c=7.393 alpha=105.68 beta=90.00 gamma=90.00
Positions (direct):
Cu (0.000, 0.200, 0.401)
Cu (0.000, 0.800, 0.599)
Tb (0.500, 0.373, 0.746)
Tb (0.500, 0.627, 0.254)
Ag (0.000, 0.000, 0.000)

* distance to the lowest polymorph of the same formula: 0.000 eV/atom
* density of states at the Fermi level: 0.621 states/eV/atom
* E_form: -0.28 eV per atom
* electronic total energy: -21.7 eV for the cell shown

Entry from the Alexandria database: crystalline Tb4Cu2Ag at its relaxed geometry (PBE).

Unit cell a=4.792 b=4.792 c=9.474 alpha=75.35 beta=75.35 gamma=60.00
Positions (direct):
Ag (0.000, 0.000, 0.000)
Cu (0.903, 0.903, 0.292)
Cu (0.097, 0.097, 0.708)
Tb (0.383, 0.383, 0.852)
Tb (0.203, 0.203, 0.391)
Tb (0.797, 0.797, 0.609)
Tb (0.617, 0.617, 0.148)

* distance to the lowest polymorph of the same formula: 0.083 eV/atom
* density of states at the Fermi level: 1.217 states/eV/atom
* E_form: -0.03 eV per atom
* electronic total energy: -29.8 eV for the cell shown

Entry from the Alexandria database: crystalline Tb4CuAg3 at its relaxed geometry (PBE).

Unit cell a=3.603 b=3.603 c=14.534 alpha=90.00 beta=90.00 gamma=90.00
Positions (direct):
Tb (0.000, 0.000, 0.116)
Tb (0.000, 0.000, 0.884)
Tb (0.000, 0.000, 0.628)
Tb (0.000, 0.000, 0.372)
Ag (0.500, 0.500, 0.245)
Ag (0.500, 0.500, 0.500)
Ag (0.500, 0.500, 0.755)
Cu (0.500, 0.500, 0.000)

* density of states at the Fermi level: 0.608 states/eV/atom
* E_form: -0.29 eV per atom
* electronic total energy: -33.5 eV for the cell shown

Entry from the Alexandria database: crystalline TbCuAg at its relaxed geometry (PBE).

Unit cell a=3.620 b=3.620 c=5.251 alpha=110.16 beta=110.16 gamma=90.00
Positions (direct):
Tb (0.945, 0.945, 0.891)
Ag (0.626, 0.626, 0.252)
Cu (0.278, 0.278, 0.557)

* distance to the lowest polymorph of the same formula: 0.063 eV/atom
* density of states at the Fermi level: 0.350 states/eV/atom
* E_form: -0.21 eV per atom
* electronic total energy: -12.2 eV for the cell shown

Entry from the Alexandria database: crystalline Tb2Cu2Ag3 at its relaxed geometry (PBE).

Unit cell a=3.680 b=3.914 c=9.978 alpha=101.31 beta=90.00 gamma=90.00
Positions (direct):
Tb (0.000, 0.159, 0.317)
Tb (0.000, 0.841, 0.683)
Ag (0.500, 0.428, 0.856)
Ag (0.500, 0.572, 0.144)
Ag (0.000, 0.000, 0.000)
Cu (0.500, 0.287, 0.575)
Cu (0.500, 0.713, 0.425)

* density of states at the Fermi level: 0.433 states/eV/atom
* E_form: -0.21 eV per atom
* electronic total energy: -27.5 eV for the cell shown

Entry from the Alexandria database: crystalline Tb4CuAg at its relaxed geometry (PBE).

Unit cell a=3.540 b=3.540 c=12.521 alpha=90.00 beta=90.00 gamma=90.00
Each line ends with the local moment (μB).
Positions (direct):
Cu (0.500, 0.500, 0.500)  0.03
Tb (0.500, 0.500, 0.154)  0.18
Tb (0.000, 0.000, 0.637)  0.18
Tb (0.000, 0.000, 0.363)  0.18
Tb (0.500, 0.500, 0.846)  0.18
Ag (0.000, 0.000, 0.000)  0.01

* distance to the lowest polymorph of the same formula: 0.000 eV/atom
* density of states at the Fermi level: 1.383 states/eV/atom
* E_form: -0.14 eV per atom
* electronic total energy: -26.3 eV for the cell shown

Entry from the Alexandria database: crystalline Tb6CuAg5 at its relaxed geometry (PBE).

Unit cell a=5.152 b=7.207 c=8.149 alpha=90.00 beta=71.57 gamma=90.00
Positions (direct):
Ag (0.669, 0.000, 0.662)
Ag (0.668, 0.500, 0.664)
Ag (0.332, 0.500, 0.336)
Ag (0.331, 0.000, 0.338)
Ag (0.000, 0.500, 0.000)
Tb (0.500, 0.243, 0.000)
Tb (0.500, 0.757, 0.000)
Tb (0.837, 0.753, 0.327)
Tb (0.163, 0.753, 0.673)
Tb (0.837, 0.247, 0.327)
Tb (0.163, 0.247, 0.673)
Cu (0.000, 0.000, 0.000)

* density of states at the Fermi level: 0.500 states/eV/atom
* E_form: -0.30 eV per atom
* electronic total energy: -49.7 eV for the cell shown

Entry from the Alexandria database: crystalline TbCuAg at its relaxed geometry (PBE).

Unit cell a=3.479 b=4.532 c=4.532 alpha=120.00 beta=90.00 gamma=90.00
Positions (direct):
Cu (0.166, 0.000, 0.000)
Ag (0.167, 0.333, 0.667)
Tb (0.667, 0.667, 0.333)

* distance to the lowest polymorph of the same formula: 0.049 eV/atom
* density of states at the Fermi level: 0.526 states/eV/atom
* E_form: -0.23 eV per atom
* electronic total energy: -12.3 eV for the cell shown

Entry from the Alexandria database: crystalline Tb4Cu2Ag at its relaxed geometry (PBE).

Unit cell a=4.983 b=4.983 c=8.525 alpha=73.01 beta=73.01 gamma=60.00
Positions (direct):
Tb (0.871, 0.871, 0.387)
Tb (0.129, 0.129, 0.613)
Tb (0.620, 0.620, 0.140)
Tb (0.380, 0.380, 0.860)
Ag (0.000, 0.000, 0.000)
Cu (0.251, 0.251, 0.248)
Cu (0.749, 0.749, 0.752)

* distance to the lowest polymorph of the same formula: 0.000 eV/atom
* density of states at the Fermi level: 0.855 states/eV/atom
* E_form: -0.12 eV per atom
* electronic total energy: -30.4 eV for the cell shown

Entry from the Alexandria database: crystalline Tb12Cu6Ag at its relaxed geometry (PBE).

Unit cell a=8.528 b=8.528 c=8.528 alpha=109.47 beta=109.47 gamma=109.47
Positions (direct):
Cu (0.624, 0.500, 0.124)
Cu (0.376, 0.500, 0.876)
Cu (0.500, 0.876, 0.376)
Cu (0.124, 0.624, 0.500)
Cu (0.876, 0.376, 0.500)
Cu (0.500, 0.124, 0.624)
Tb (0.106, 0.811, 0.295)
Tb (0.483, 0.189, 0.295)
Tb (0.811, 0.705, 0.517)
Tb (0.811, 0.295, 0.106)
Tb (0.295, 0.106, 0.811)
Tb (0.517, 0.811, 0.705)
Tb (0.894, 0.189, 0.705)
Tb (0.295, 0.483, 0.189)
Tb (0.705, 0.517, 0.811)
Tb (0.189, 0.705, 0.894)
Tb (0.705, 0.894, 0.189)
Tb (0.189, 0.295, 0.483)
Ag (0.000, 0.000, 0.000)

* density of states at the Fermi level: 0.803 states/eV/atom
* E_form: -0.15 eV per atom
* electronic total energy: -85.8 eV for the cell shown

Entry from the Alexandria database: crystalline Tb3CuAg2 at its relaxed geometry (PBE).

Unit cell a=3.584 b=3.584 c=10.892 alpha=90.00 beta=90.00 gamma=90.00
Positions (direct):
Tb (0.000, 0.000, 0.344)
Tb (0.000, 0.000, 0.000)
Tb (0.000, 0.000, 0.656)
Ag (0.500, 0.500, 0.829)
Ag (0.500, 0.500, 0.171)
Cu (0.500, 0.500, 0.500)

* distance to the lowest polymorph of the same formula: 0.000 eV/atom
* density of states at the Fermi level: 0.501 states/eV/atom
* E_form: -0.29 eV per atom
* electronic total energy: -25.4 eV for the cell shown